The following is a PBE calculation of a relaxed structure of NaTaAg, from OQMD.

a = 4.568 Å, b = 4.568 Å, c = 4.568 Å
α = 60.00°, β = 60.00°, γ = 60.00°
Fractional positions:
Na  0.000  0.000  0.000
Ta  0.750  0.750  0.750
Ag  0.500  0.500  0.500

M_tot: 0.0 μB per cell
E: -3.756 eV/atom

---

The following is a PBE calculation of a relaxed structure of Na2Ta2Ag, from OQMD.

a = 8.215 Å, b = 8.215 Å, c = 8.215 Å
α = 143.02°, β = 52.95°, γ = 143.49°
Fractional positions:
Na  0.092  0.086  0.178
Na  0.408  0.586  0.994
Na  0.592  0.414  0.006
Na  0.908  0.914  0.822
Ta  0.210  0.590  0.796
Ta  0.294  0.090  0.379
Ta  0.710  0.914  0.621
Ta  0.794  0.414  0.204
Ag  0.250  0.750  0.500
Ag  0.750  0.250  0.500

M_tot: 0.0 μB per cell
E: -5.174 eV/atom

---

The following is a PBE calculation of a relaxed structure of NaTaAgTe3, from OQMD.

a = 7.673 Å, b = 7.673 Å, c = 10.831 Å
α = 90.00°, β = 90.00°, γ = 150.37°
Fractional positions:
Na  0.229  0.771  0.750
Na  0.771  0.229  0.250
Ta  0.000  0.000  0.000
Ta  0.000  0.000  0.500
Ag  0.455  0.545  0.250
Ag  0.545  0.455  0.750
Te  0.087  0.913  0.250
Te  0.363  0.637  0.034
Te  0.363  0.637  0.466
Te  0.637  0.363  0.534
Te  0.637  0.363  0.966
Te  0.913  0.087  0.750

M_tot: 1.5 μB per cell
E: -4.511 eV/atom

---

The following is a PBE calculation of a relaxed structure of NaTbAgTe3, from OQMD.

a = 7.863 Å, b = 7.863 Å, c = 11.229 Å
α = 90.00°, β = 90.00°, γ = 149.01°
Fractional positions:
Na  0.231  0.769  0.750
Na  0.769  0.231  0.250
Tb  0.000  0.000  0.000
Tb  0.000  0.000  0.500
Ag  0.470  0.530  0.250
Ag  0.530  0.470  0.750
Te  0.094  0.906  0.250
Te  0.357  0.643  0.056
Te  0.357  0.643  0.444
Te  0.643  0.357  0.556
Te  0.643  0.357  0.944
Te  0.906  0.094  0.750

M_tot: 0.0 μB per cell
E: -3.864 eV/atom

---

The following is a PBE calculation of a relaxed structure of NaTbAgTe3, from OQMD.

a = 11.361 Å, b = 4.222 Å, c = 14.951 Å
α = 90.00°, β = 90.00°, γ = 90.00°
Fractional positions:
Na  0.228  0.250  0.019
Na  0.272  0.750  0.519
Na  0.728  0.250  0.481
Na  0.772  0.750  0.981
Tb  0.018  0.750  0.746
Tb  0.482  0.250  0.246
Tb  0.518  0.750  0.754
Tb  0.982  0.250  0.254
Ag  0.236  0.750  0.218
Ag  0.264  0.250  0.718
Ag  0.736  0.750  0.282
Ag  0.764  0.250  0.782
Te  0.038  0.750  0.109
Te  0.073  0.250  0.602
Te  0.233  0.250  0.343
Te  0.267  0.750  0.843
Te  0.427  0.750  0.102
Te  0.462  0.250  0.609
Te  0.538  0.750  0.391
Te  0.573  0.250  0.898
Te  0.733  0.250  0.157
Te  0.767  0.750  0.657
Te  0.927  0.750  0.398
Te  0.962  0.250  0.891

M_tot: 0.0 μB per cell
E: -3.863 eV/atom

---

The following is a PBE calculation of a relaxed structure of NaTcAgTe3, from OQMD.

a = 7.588 Å, b = 7.588 Å, c = 10.690 Å
α = 90.00°, β = 90.00°, γ = 150.26°
Fractional positions:
Na  0.232  0.768  0.750
Na  0.768  0.232  0.250
Tc  0.000  0.000  0.000
Tc  0.000  0.000  0.500
Ag  0.445  0.555  0.250
Ag  0.555  0.445  0.750
Te  0.081  0.919  0.250
Te  0.366  0.634  0.022
Te  0.366  0.634  0.478
Te  0.634  0.366  0.522
Te  0.634  0.366  0.978
Te  0.919  0.081  0.750

M_tot: 4.4 μB per cell
E: -4.112 eV/atom

---

The following is a PBE calculation of a relaxed structure of NaAg3Te2, from OQMD.

a = 8.707 Å, b = 8.707 Å, c = 8.707 Å
α = 132.25°, β = 75.96°, γ = 124.77°
Fractional positions:
Na  0.250  0.250  0.000
Na  0.750  0.750  0.000
Ag  0.000  0.000  0.500
Ag  0.000  0.500  0.000
Ag  0.000  0.500  0.500
Ag  0.500  0.000  0.000
Ag  0.500  0.000  0.500
Ag  0.500  0.500  0.500
Te  0.126  0.217  0.343
Te  0.374  0.717  0.091
Te  0.626  0.283  0.909
Te  0.874  0.783  0.657

Polymorph energy (0 for the lowest one): 0.539 eV/f.u.

---

The following is a PBE calculation of a relaxed structure of NaAgTe, from OQMD.

a = 7.825 Å, b = 4.607 Å, c = 8.452 Å
α = 90.00°, β = 90.00°, γ = 90.00°
Fractional positions:
Na  0.027  0.250  0.183
Na  0.473  0.750  0.683
Na  0.527  0.250  0.317
Na  0.973  0.750  0.817
Ag  0.126  0.250  0.558
Ag  0.374  0.750  0.058
Ag  0.626  0.250  0.942
Ag  0.874  0.750  0.442
Te  0.242  0.750  0.380
Te  0.258  0.250  0.880
Te  0.742  0.750  0.120
Te  0.758  0.250  0.620

E: -2.985 eV/atom

---

The following is a PBE calculation of a relaxed structure of NaAg3Te2, from OQMD.

a = 9.015 Å, b = 9.015 Å, c = 9.145 Å
α = 120.34°, β = 120.34°, γ = 29.12°
Fractional positions:
Na  0.139  0.139  0.053
Na  0.861  0.861  0.947
Ag  0.051  0.051  0.402
Ag  0.314  0.314  0.553
Ag  0.403  0.403  0.356
Ag  0.597  0.597  0.644
Ag  0.686  0.686  0.447
Ag  0.949  0.949  0.598
Te  0.219  0.219  0.723
Te  0.496  0.496  0.188
Te  0.504  0.504  0.812
Te  0.781  0.781  0.277

Polymorph energy (0 for the lowest one): 0.000 eV/f.u.

---

The following is a PBE calculation of a relaxed structure of NaTmAgTe3, from OQMD.

a = 7.871 Å, b = 7.871 Å, c = 11.150 Å
α = 90.00°, β = 90.00°, γ = 149.44°
Fractional positions:
Na  0.230  0.770  0.750
Na  0.770  0.230  0.250
Tm  0.000  0.000  0.000
Tm  0.000  0.000  0.500
Ag  0.469  0.531  0.250
Ag  0.531  0.469  0.750
Te  0.093  0.907  0.250
Te  0.359  0.641  0.052
Te  0.359  0.641  0.448
Te  0.641  0.359  0.552
Te  0.641  0.359  0.948
Te  0.907  0.093  0.750

M_tot: 0.0 μB per cell
E: -3.818 eV/atom

---

The following is a PBE calculation of a relaxed structure of NaUAgTe3, from OQMD.

a = 7.662 Å, b = 7.662 Å, c = 11.346 Å
α = 90.00°, β = 90.00°, γ = 147.16°
Fractional positions:
Na  0.236  0.764  0.750
Na  0.764  0.236  0.250
U  0.000  0.000  0.000
U  0.000  0.000  0.500
Ag  0.468  0.532  0.250
Ag  0.532  0.468  0.750
Te  0.089  0.911  0.250
Te  0.357  0.643  0.053
Te  0.357  0.643  0.447
Te  0.643  0.357  0.553
Te  0.643  0.357  0.947
Te  0.911  0.089  0.750

M_tot: 4.0 μB per cell
E: -4.759 eV/atom

---

The following is a PBE calculation of a relaxed structure of NaAgTe3W, from OQMD.

a = 7.602 Å, b = 7.602 Å, c = 10.789 Å
α = 90.00°, β = 90.00°, γ = 150.08°
Fractional positions:
Na  0.235  0.765  0.750
Na  0.765  0.235  0.250
Ag  0.444  0.556  0.250
Ag  0.556  0.444  0.750
Te  0.080  0.920  0.250
Te  0.364  0.636  0.024
Te  0.364  0.636  0.476
Te  0.636  0.364  0.524
Te  0.636  0.364  0.976
Te  0.920  0.080  0.750
W  0.000  0.000  0.000
W  0.000  0.000  0.500

M_tot: 3.9 μB per cell
E: -4.426 eV/atom

---

The following is a PBE calculation of a relaxed structure of NaAg3Te4W, from OQMD.

a = 6.645 Å, b = 6.645 Å, c = 6.645 Å
α = 90.00°, β = 90.00°, γ = 90.00°
Fractional positions:
Na  0.000  0.000  0.000
Ag  0.000  0.500  0.500
Ag  0.500  0.000  0.500
Ag  0.500  0.500  0.000
Te  0.268  0.268  0.268
Te  0.268  0.732  0.732
Te  0.732  0.268  0.732
Te  0.732  0.732  0.268
W  0.500  0.500  0.500

M_tot: 2.0 μB per cell
E: -3.932 eV/atom

---

The following is a PBE calculation of a relaxed structure of Na6TlAg, from OQMD.

a = 5.254 Å, b = 5.254 Å, c = 7.305 Å
α = 90.00°, β = 90.00°, γ = 90.00°
Fractional positions:
Na  0.000  0.000  0.000
Na  0.000  0.500  0.242
Na  0.000  0.500  0.758
Na  0.500  0.000  0.242
Na  0.500  0.000  0.758
Na  0.500  0.500  0.500
Tl  0.000  0.000  0.500
Ag  0.500  0.500  0.000

E: -1.650 eV/atom

---

The following is a PBE calculation of a relaxed structure of Na2TlAg, from OQMD.

a = 5.080 Å, b = 5.080 Å, c = 5.080 Å
α = 60.00°, β = 60.00°, γ = 60.00°
Fractional positions:
Na  0.000  0.000  0.000
Na  0.250  0.250  0.250
Tl  0.500  0.500  0.500
Ag  0.750  0.750  0.750

E: -2.018 eV/atom

---

The following is a PBE calculation of a relaxed structure of NaYAg, from OQMD.

a = 4.963 Å, b = 4.963 Å, c = 4.963 Å
α = 60.00°, β = 60.00°, γ = 60.00°
Fractional positions:
Na  0.000  0.000  0.000
Y  0.250  0.250  0.250
Ag  0.500  0.500  0.500

M_tot: 0.0 μB per cell
E: -3.064 eV/atom

---

The following is a PBE calculation of a relaxed structure of NaZnAg2, from OQMD.

a = 4.741 Å, b = 4.741 Å, c = 4.741 Å
α = 60.00°, β = 60.00°, γ = 60.00°
Fractional positions:
Na  0.000  0.000  0.000
Zn  0.750  0.750  0.750
Ag  0.250  0.250  0.250
Ag  0.500  0.500  0.500

E: -2.027 eV/atom

---

The following is a PBE calculation of a relaxed structure of NaZn4Ag, from OQMD.

a = 5.200 Å, b = 5.200 Å, c = 5.200 Å
α = 60.00°, β = 60.00°, γ = 60.00°
Fractional positions:
Na  0.000  0.000  0.000
Zn  0.376  0.376  0.376
Zn  0.376  0.376  0.872
Zn  0.376  0.872  0.376
Zn  0.872  0.376  0.376
Ag  0.750  0.750  0.750

E: -1.592 eV/atom

---

The following is a PBE calculation of a relaxed structure of NaZn6Ag, from OQMD.

a = 4.399 Å, b = 5.779 Å, c = 5.094 Å
α = 90.00°, β = 90.00°, γ = 90.00°
Fractional positions:
Na  0.000  0.000  0.000
Zn  0.000  0.259  0.511
Zn  0.000  0.500  0.050
Zn  0.000  0.741  0.511
Zn  0.500  0.000  0.614
Zn  0.500  0.269  0.205
Zn  0.500  0.731  0.205
Ag  0.500  0.500  0.725

E: -1.452 eV/atom

---

The following is a PBE calculation of a relaxed structure of NaZn2Ag, from OQMD.

a = 4.626 Å, b = 4.626 Å, c = 4.626 Å
α = 60.00°, β = 60.00°, γ = 60.00°
Fractional positions:
Na  0.000  0.000  0.000
Zn  0.250  0.250  0.250
Zn  0.500  0.500  0.500
Ag  0.750  0.750  0.750

E: -1.619 eV/atom